! CeSmCu2 | Alexandria via LeMat-Bulk | GGA-PBE | optimized geometry; values from VASP
&SYSTEM
  ibrav = 0, nat = 4, ntyp = 3
/
ATOMIC_SPECIES
Cu 63.55 Cu.upf
Ce 140.12 Ce.upf
Sm 150.36 Sm.upf
CELL_PARAMETERS angstrom
3.4795 0.0000 0.0000
0.0000 5.0437 0.0000
0.0000 0.0000 5.0437
ATOMIC_POSITIONS crystal
Cu 0.0000 0.0000 0.5000
Cu 0.0000 0.5000 0.0000
Ce 0.5000 0.5000 0.5000
Sm 0.5000 0.0000 0.0000
! space group	P4/mmm, No. 123
! magnetization	0.9	μB/cell
! theoretical density	7.8	g/cm³
! calculated total energy	-4.8009	eV/atom

---

! Ac3Sn4Ge2 | Alexandria via LeMat-Bulk | GGA-PBE | optimized geometry; values from VASP
&SYSTEM
  ibrav = 0, nat = 9, ntyp = 3
/
ATOMIC_SPECIES
Ac 227.00 Ac.upf
Sn 118.71 Sn.upf
Ge 72.64 Ge.upf
CELL_PARAMETERS angstrom
4.5747 0.0000 0.0000
0.0000 8.2788 0.0000
0.0000 -4.1394 7.1696
ATOMIC_POSITIONS crystal
Ac 0.5000 0.0000 0.3988
Ac 0.5000 0.3988 0.0000
Ac 0.5000 0.6012 0.6012
Sn 0.5000 0.0000 0.0000
Sn 0.0000 0.2723 0.2723
Sn 0.0000 0.7277 0.0000
Sn 0.0000 0.0000 0.7277
Ge 0.0000 0.6667 0.3333
Ge 0.0000 0.3333 0.6667
! space group	P-62m, No. 189
! magnetization	0.0	μB/cell
! theoretical density	8.0	g/cm³
! calculated total energy	-4.6990	eV/atom

---

! MnOs2Cl | Alexandria via LeMat-Bulk | GGA-PBE | optimized geometry; values from VASP
&SYSTEM
  ibrav = 0, nat = 4, ntyp = 3
/
ATOMIC_SPECIES
Mn 54.94 Mn.upf
Os 190.23 Os.upf
Cl 35.45 Cl.upf
CELL_PARAMETERS angstrom
0.0000 3.0091 3.0091
3.0091 0.0000 3.0091
3.0091 3.0091 0.0000
ATOMIC_POSITIONS crystal
Mn 0.5000 0.5000 0.5000
Os 0.2500 0.2500 0.2500
Os 0.7500 0.7500 0.7500
Cl 0.0000 0.0000 0.0000
! space group	Fm-3m, No. 225
! magnetization	0.0	μB/cell
! theoretical density	14.3	g/cm³
! energy relative to the elements, uncorrected	1.18	eV per atom

---

! Al2CuTeMo | Alexandria via LeMat-Bulk | GGA-PBE | optimized geometry; values from VASP
&SYSTEM
  ibrav = 0, nat = 5, ntyp = 4
/
ATOMIC_SPECIES
Mo 95.94 Mo.upf
Te 127.60 Te.upf
Al 26.98 Al.upf
Cu 63.55 Cu.upf
CELL_PARAMETERS angstrom
-3.9762 0.7869 -3.5277
-3.0406 -3.5636 2.6323
-1.6975 3.4262 2.6776
ATOMIC_POSITIONS crystal
Mo 0.5000 0.5000 0.5000
Te 0.0000 0.0000 0.0000
Al 0.0000 0.5000 0.0000
Al 0.5000 0.0000 0.0000
Cu 0.0000 0.0000 0.5000
! space group	P4/mmm, No. 123
! magnetization	4.0	μB/cell
! theoretical density	4.2	g/cm³
! energy relative to the elements, uncorrected	1.50	eV per atom

---

! HfNb3Pt | Alexandria via LeMat-Bulk | GGA-PBE | optimized geometry; values from VASP
&SYSTEM
  ibrav = 0, nat = 5, ntyp = 3
/
ATOMIC_SPECIES
Nb 92.91 Nb.upf
Hf 178.49 Hf.upf
Pt 195.08 Pt.upf
CELL_PARAMETERS angstrom
4.8219 0.0000 0.0000
0.0000 4.8219 0.0000
0.0000 0.0000 4.8219
ATOMIC_POSITIONS crystal
Nb 0.0000 0.5000 0.0000
Nb 0.0000 0.0000 0.5000
Nb 0.5000 0.0000 0.0000
Hf 0.0000 0.0000 0.0000
Pt 0.5000 0.5000 0.5000
! space group	Pm-3m, No. 221
! magnetization	0.0	μB/cell
! theoretical density	9.7	g/cm³
! calculated total energy	-7.5827	eV/atom

---

! NaGeBr3 | Alexandria via LeMat-Bulk | GGA-PBE | optimized geometry; values from VASP
&SYSTEM
  ibrav = 0, nat = 5, ntyp = 3
/
ATOMIC_SPECIES
Na 22.99 Na.upf
Ge 72.64 Ge.upf
Br 79.90 Br.upf
CELL_PARAMETERS angstrom
-1.9940 -4.8687 -0.7234
4.6989 -2.1153 1.2845
-1.4657 -0.1578 5.1020
ATOMIC_POSITIONS crystal
Na 0.0000 0.0000 0.0000
Ge 0.5000 0.5000 0.5000
Br 0.0000 0.5000 0.0000
Br 0.0000 0.0000 0.5000
Br 0.5000 0.0000 0.0000
! space group	Pm-3m, No. 221
! magnetization	0.0	μB/cell
! theoretical density	3.7	g/cm³
! energy relative to the elements, uncorrected	-0.25	eV per atom

---

! Ac6SnIr2Br3 | Alexandria via LeMat-Bulk | GGA-PBE | optimized geometry; values from VASP
&SYSTEM
  ibrav = 0, nat = 12, ntyp = 4
/
ATOMIC_SPECIES
Ac 227.00 Ac.upf
Sn 118.71 Sn.upf
Ir 192.22 Ir.upf
Br 79.90 Br.upf
CELL_PARAMETERS angstrom
4.4763 0.0000 0.0000
0.0000 9.7974 0.0284
-2.2381 -3.1496 9.8566
ATOMIC_POSITIONS crystal
Ac 0.3327 0.8659 0.6654
Ac 0.6802 0.5527 0.3604
Ac 0.6673 0.1341 0.3346
Ac 0.0218 0.2527 0.0437
Ac 0.9782 0.7473 0.9563
Ac 0.3198 0.4473 0.6396
Sn 0.5000 0.0000 0.0000
Ir 0.8298 0.6586 0.6595
Ir 0.1702 0.3414 0.3405
Br 0.5000 0.5000 0.0000
Br 0.8392 0.1559 0.6783
Br 0.1608 0.8441 0.3217
! space group	C2/m, No. 12
! magnetization	0.0	μB/cell
! theoretical density	8.1	g/cm³
! energy relative to the elements, uncorrected	-1.12	eV per atom

---

! Ga4CoRh2 | Alexandria via LeMat-Bulk | GGA-PBE | optimized geometry; values from VASP
&SYSTEM
  ibrav = 0, nat = 7, ntyp = 3
/
ATOMIC_SPECIES
Rh 102.91 Rh.upf
Co 58.93 Co.upf
Ga 69.72 Ga.upf
CELL_PARAMETERS angstrom
-1.3258 -1.7541 3.5872
-1.1929 -4.0345 0.0538
5.4772 -3.7781 2.6444
ATOMIC_POSITIONS crystal
Rh 0.7459 0.7459 0.7624
Rh 0.2541 0.2541 0.2376
Co 0.0000 0.0000 0.0000
Ga 0.8721 0.8721 0.3836
Ga 0.1279 0.1279 0.6164
Ga 0.6194 0.6194 0.1419
Ga 0.3806 0.3806 0.8581
! space group	R-3m, No. 166
! magnetization	0.0	μB/cell
! theoretical density	8.7	g/cm³
! calculated total energy	-5.3113	eV/atom

---

no.,N(E_F) (states/eV per cell),calculated volume (A^3/atom)
1,7.29,22.128
2,7.06,30.171
3,3.26,13.623
4,3.92,26.956
5,5.80,22.423
6,0.00,29.956
7,4.38,36.056
8,4.65,14.752